Below is an optimized crystal structure of V4RhN, with properties calculated at the PBE-GGA level.

Summary:
DFT total energy = -8.77 eV per atom
ΔE_f (raw) = -80 meV/atom
space-group type = Cmmm (65)

Cell lengths 5.541, 5.541, 2.780 Å; angles 90.00, 90.00, 96.87 degrees
Positions (direct):
V (0.183, 0.183, 0.500)
V (0.241, 0.759, 0.000)
V (0.759, 0.241, 0.000)
V (0.817, 0.817, 0.500)
Rh (0.500, 0.500, 0.500)
N (0.000, 0.000, 0.000)